A geometry-optimized TiFeRh3 structure, computed with PBE.

Properties
As for the energy relative to the elements: 750 meV/atom. The total energy is -34.66 eV per formula unit. The magnetic moment is 4.163 μB per cell. The crystal system is cubic. The value obtained for the energy relative to the lowest polymorph listed for this composition is 0.6899 eV/atom.

Cell: 4.492 4.492 4.492 Å, 90.00 90.00 90.00°
Fractional coordinates of all 5 atoms:
Ti 0.000 0.000 0.000
Fe 0.500 0.500 0.500
Rh 0.000 0.000 0.500
Rh 0.000 0.500 0.000
Rh 0.500 0.000 0.000